1.
Ho6ZnPd5: optimized geometry, PBE-GGA.

Lattice parameters (Å, degrees): 4.9523 7.0053 7.8215 90.00 108.33 90.00
Space group P2/m (No. 10)
Unique sites:
Ho  0.0000  0.2460  0.0000
Ho  0.3324  0.2492  0.6645
Zn  0.5000  0.5000  0.0000
Pd  0.1624  0.5000  0.3256
Pd  0.1679  0.0000  0.3373
Pd  0.5000  0.0000  0.0000

Output
volume: 21.464 Å³/atom
density of states at the Fermi level: 0.6611 states/eV per atom
energy: -5.37 eV per atom
size of the total moment: 0.00 μB/atom

2.
HoZn12Pd6: optimized geometry, PBE-GGA.

Lattice parameters (Å, degrees): 11.4031 11.4031 8.5065 90.00 90.00 120.00
Space group R-3m (No. 166, hexagonal axes)
Unique sites:
Ho  0.0000  0.0000  0.0000
Zn  0.0000  0.3894  0.5000
Zn  0.0823  0.1647  0.3004
Pd  0.0504  0.5252  0.2401

Output
volume: 16.806 Å³/atom
density of states at the Fermi level: 0.4729 states/eV per atom
energy: -2.99 eV per atom
size of the total moment: 0.00 μB/atom

3.
HoZn3Pd: optimized geometry, PBE-GGA.

Lattice parameters (Å, degrees): 4.5997 4.5997 22.0659 90.00 90.00 90.00
Space group I-4m2 (No. 119)
Unique sites:
Ho  0.0000  0.0000  0.0000
Ho  0.0000  0.5000  0.2500
Zn  0.0000  0.2511  0.1243
Zn  0.0000  0.5000  0.5951
Pd  0.0000  0.0000  0.3389

Output
volume: 23.343 Å³/atom
density of states at the Fermi level: 0.4362 states/eV per atom
energy: -2.73 eV per atom
size of the total moment: 0.00 μB/atom

4.
Ho2Zn16Pd: optimized geometry, PBE-GGA.

Lattice parameters (Å, degrees): 8.9575 8.9575 13.1251 90.00 90.00 120.00
Space group R3m (No. 160, hexagonal axes)
Unique sites:
Ho  0.0000  0.0000  0.0000
Ho  0.0000  0.0000  0.3284
Zn  0.0000  0.0000  0.7660
Zn  0.9996  0.2938  0.6609
Zn  0.0028  0.5014  0.1614
Zn  0.0058  0.5029  0.8130
Zn  0.1730  0.3459  0.8444
Pd  0.0000  0.0000  0.5631

Output
volume: 16.000 Å³/atom
density of states at the Fermi level: 0.3341 states/eV per atom
energy: -2.11 eV per atom
size of the total moment: 0.00 μB/atom

5.
Ho2ZnPd3: optimized geometry, PBE-GGA.

Lattice parameters (Å, degrees): 7.1488 3.8129 17.1755 90.00 90.00 90.00
Space group Pnma (No. 62)
Unique sites:
Ho  0.1094  0.2500  0.2093
Ho  0.1600  0.2500  0.4295
Zn  0.0115  0.7500  0.0597
Pd  0.0858  0.2500  0.6556
Pd  0.1964  0.2500  0.8137
Pd  0.2437  0.7500  0.5519

Output
volume: 19.507 Å³/atom
excess energy over the best structure of this formula in the dataset: 0.0 kJ per mole of atoms
density of states at the Fermi level: 0.3026 states/eV per atom
size of the total moment: 0.00 μB/atom

6.
HoZn5Pd2: optimized geometry, PBE-GGA.

Lattice parameters (Å, degrees): 3.6419 7.6952 9.9044 90.00 90.00 90.00
Space group Immm (No. 71)
Unique sites:
Ho  0.0000  0.0000  0.0000
Zn  0.0000  0.1942  0.3613
Zn  0.0000  0.5000  0.0000
Pd  0.0000  0.5000  0.2619

Output
volume: 17.348 Å³/atom
density of states at the Fermi level: 0.4126 states/eV per atom
energy: -3.09 eV per atom
size of the total moment: 0.00 μB/atom

7.
HoZn3Pd3: optimized geometry, PBE-GGA.

Lattice parameters (Å, degrees): 6.7630 6.7630 6.7630 90.00 90.00 90.00
Space group Pm-3n (No. 223)
Unique sites:
Ho  0.0000  0.0000  0.0000
Zn  0.0000  0.2500  0.5000
Pd  0.0000  0.5000  0.2500

Output
volume: 22.095 Å³/atom
excess energy over the best structure of this formula in the dataset: 52.1 kJ per mole of atoms
density of states at the Fermi level: 0.4249 states/eV per atom
size of the total moment: 0.00 μB/atom

8.
Ho2Zn5Pd5: optimized geometry, PBE-GGA.

Lattice parameters (Å, degrees): 4.3957 5.2113 9.1173 90.00 90.00 90.00
Space group Pmmm (No. 47)
Unique sites:
Ho  0.0000  0.0000  0.0000
Ho  0.0000  0.5000  0.5000
Zn  0.5000  0.0000  0.5000
Zn  0.5000  0.2503  0.2500
Pd  0.0000  0.0000  0.3329
Pd  0.0000  0.5000  0.1787
Pd  0.5000  0.5000  0.0000

Output
volume: 17.405 Å³/atom
density of states at the Fermi level: 0.4029 states/eV per atom
energy: -4.11 eV per atom
size of the total moment: 0.00 μB/atom